Computed, not measured: a relaxed structure of As2HSeCl at the PBE level of DFT.

Summary:
- polymorph energy (0 for the lowest one) (meV/atom) = 834
- symmetry = No. 123
- volume (Å³ per cell) = 130.0
- spin magnetization (Bohr magnetons per cell) = 0.3

Cell lengths 4.946, 4.946, 5.315 Å; angles 90.00, 90.00, 90.00 degrees
Element x y z (fractional)
Cl (0.000, 0.000, 0.000)
H (0.500, 0.500, 0.500)
Se (0.000, 0.000, 0.500)
As (0.000, 0.500, 0.000)
As (0.500, 0.000, 0.000)